The following is a PBE+U calculation of a relaxed AlV2CuO8 crystal, from Alexandria.

Cell: 5.642 5.642 5.642 Å, 113.10 113.10 102.43°
Each line ends with the local moment (μB).
Positions (direct):
Al (0.250, 0.750, 0.500)  0.00
V (0.750, 0.250, 0.500)  -0.04
V (0.500, 0.500, 0.000)  -0.01
Cu (0.000, 0.000, 0.000)  0.81
O (0.378, 0.096, 0.282)  0.25
O (0.356, 0.587, 0.230)  0.03
O (0.356, 0.126, 0.770)  0.03
O (0.815, 0.096, 0.718)  0.25
O (0.874, 0.644, 0.230)  0.03
O (0.904, 0.185, 0.282)  0.25
O (0.904, 0.622, 0.718)  0.25
O (0.413, 0.644, 0.770)  0.03

total moment	0.170	μB per atom
Fermi-level density of states	0.433	states/eV per atom
DFT total energy	-80.8	eV/f.u.
crystal system	tetragonal